Below is a PBEsol-optimized structure of Cd3HO, with properties calculated at the SCAN level.

Calculated values
As for the density of states at the Fermi level: 2.975 states/eV/f.u. Its total DFT energy (no corrections) is -19.86 eV per atom.

a b c (Å): 4.5433 4.5433 4.5433
angles (deg): 90.00 90.00 90.00
Sites, in units of the cell vectors:
Cd: 0.0000 0.0000 0.5000
Cd: 0.0000 0.5000 0.0000
Cd: 0.5000 0.0000 0.0000
H: 0.5000 0.5000 0.5000
O: 0.0000 0.0000 0.0000